No. 1
The following is a DFT calculation (PBE-GGA) of a geometry-optimized CsK4Rb5 structure.

Unit cell a=14.101 b=14.101 c=8.931 alpha=90.00 beta=90.00 gamma=90.00
Space group I4 (No. 79)
Unique sites:
Cs 0.000 0.000 0.000 (multiplicity 2)
K 0.144 0.754 0.283 (multiplicity 8)
Rb 0.000 0.000 0.527 (multiplicity 2)
Rb 0.060 0.657 0.776 (multiplicity 8)

Values from the calculation:
Energy relative to the elements: 0.058 eV per atom
Crystal system: tetragonal
Mass density: 1.34 g cm⁻³


No. 2
The following is a DFT calculation (PBE-GGA) of a geometry-optimized CsK2Rb3 structure.

Unit cell a=23.283 b=8.035 c=13.464 alpha=90.00 beta=123.37 gamma=90.00
Space group C2/m (No. 12)
Unique sites:
Cs 0.128 0.000 0.141 (multiplicity 4)
K 0.038 0.500 0.202 (multiplicity 4)
K 0.218 0.000 0.558 (multiplicity 4)
Rb 0.041 0.000 0.705 (multiplicity 4)
Rb 0.122 0.500 0.605 (multiplicity 4)
Rb 0.204 0.500 0.030 (multiplicity 4)

Values from the calculation:
Energy relative to the elements: 0.008 eV per atom
Crystal system: monoclinic
Mass density: 1.48 g cm⁻³


No. 3
The following is a DFT calculation (PBE-GGA) of a geometry-optimized Cs5K5Rb2 structure.

Unit cell a=23.746 b=8.104 c=13.686 alpha=90.00 beta=123.26 gamma=90.00
Space group C2/m (No. 12)
Unique sites:
Cs 0.000 0.000 0.000 (multiplicity 2)
Cs 0.091 0.000 0.428 (multiplicity 4)
Cs 0.176 0.000 0.860 (multiplicity 4)
K 0.000 0.500 0.500 (multiplicity 2)
K 0.073 0.500 0.887 (multiplicity 4)
K 0.235 0.500 0.713 (multiplicity 4)
Rb 0.160 0.500 0.298 (multiplicity 4)

Values from the calculation:
Energy relative to the elements: 0.009 eV per atom
Crystal system: monoclinic
Mass density: 1.55 g cm⁻³


No. 4
The following is a DFT calculation (PBE-GGA) of a geometry-optimized CsK2Rb4 structure.

Unit cell a=16.983 b=9.103 c=16.528 alpha=90.00 beta=90.00 gamma=90.00
Space group Cmce (No. 64)
Unique sites:
Cs 0.000 0.000 0.000 (multiplicity 4)
K 0.213 0.000 0.500 (multiplicity 8)
Rb 0.000 0.001 0.323 (multiplicity 8)
Rb 0.250 0.249 0.750 (multiplicity 8)

Values from the calculation:
Energy relative to the elements: 0.023 eV per atom
Crystal system: orthorhombic
Mass density: 1.44 g cm⁻³


No. 5
The following is a DFT calculation (PBE-GGA) of a geometry-optimized Cs4K12Rb structure.

Unit cell a=14.788 b=14.788 c=14.788 alpha=90.00 beta=90.00 gamma=90.00
Space group Im-3 (No. 204)
Unique sites:
Cs 0.250 0.250 0.250 (multiplicity 8)
K 0.000 0.361 0.143 (multiplicity 24)
Rb 0.000 0.000 0.000 (multiplicity 2)

Values from the calculation:
Energy relative to the elements: 0.174 eV per atom
Crystal system: cubic
Mass density: 1.12 g cm⁻³


No. 6
The following is a DFT calculation (PBE-GGA) of a geometry-optimized Cs8K3Rb structure.

Unit cell a=9.1377 b=9.1377 c=16.9595 alpha=90.00 beta=90.00 gamma=120.00
Space group P-31m (No. 162)
Unique sites:
Cs 0.0000 0.3306 0.2372 (multiplicity 6)
Cs 0.3333 0.6667 0.5000 (multiplicity 2)
K 0.0000 0.0000 0.0000 (multiplicity 1)
K 0.3333 0.6667 0.0000 (multiplicity 2)
Rb 0.0000 0.0000 0.5000 (multiplicity 1)

Values from the calculation:
Energy relative to the elements: 0.013 eV per atom
Crystal system: trigonal
Mass density: 1.71 g cm⁻³


No. 7
The following is a DFT calculation (PBE-GGA) of a geometry-optimized Cs6K23Rb structure.

Unit cell a=21.465 b=21.465 c=21.465 alpha=90.00 beta=90.00 gamma=90.00
Space group Fm-3m (No. 225)
Unique sites:
Cs 0.000 0.000 0.222 (multiplicity 24)
K 0.000 0.000 0.500 (multiplicity 4)
K 0.000 0.250 0.250 (multiplicity 24)
K 0.120 0.120 0.380 (multiplicity 32)
K 0.169 0.169 0.169 (multiplicity 32)
Rb 0.000 0.000 0.000 (multiplicity 4)

Values from the calculation:
Energy relative to the elements: 0.015 eV per atom
Crystal system: cubic
Mass density: 1.20 g cm⁻³


No. 8
The following is a DFT calculation (PBE-GGA) of a geometry-optimized Cs6KRb4 structure.

Unit cell a=9.481 b=9.493 c=13.639 alpha=102.50 beta=102.49 gamma=93.77
Space group P1 (No. 1)
Unique sites:
Cs 0.000 0.000 0.000 (multiplicity 1)
Cs 0.050 0.671 0.324 (multiplicity 1)
Cs 0.383 0.620 0.002 (multiplicity 1)
Cs 0.541 0.545 0.641 (multiplicity 1)
Cs 0.617 0.236 0.218 (multiplicity 1)
Cs 0.931 0.160 0.641 (multiplicity 1)
K 0.051 0.670 0.672 (multiplicity 1)
Rb 0.196 0.192 0.379 (multiplicity 1)
Rb 0.450 0.066 0.778 (multiplicity 1)
Rb 0.572 0.817 0.383 (multiplicity 1)
Rb 0.857 0.474 0.961 (multiplicity 1)

Values from the calculation:
Energy relative to the elements: 0.029 eV per atom
Crystal system: triclinic
Mass density: 1.68 g cm⁻³


No. 9
The following is a DFT calculation (PBE-GGA) of a geometry-optimized Cs10K2Rb structure.

Unit cell a=17.194 b=19.665 c=16.995 alpha=90.00 beta=90.00 gamma=90.00
Space group Cmcm (No. 63)
Unique sites:
Cs 0.000 0.119 0.057 (multiplicity 8)
Cs 0.000 0.343 0.598 (multiplicity 8)
Cs 0.150 0.112 0.750 (multiplicity 8)
Cs 0.211 0.500 0.000 (multiplicity 8)
Cs 0.221 0.152 0.250 (multiplicity 8)
K 0.250 0.250 0.000 (multiplicity 8)
Rb 0.000 0.384 0.250 (multiplicity 4)

Values from the calculation:
Energy relative to the elements: 0.029 eV per atom
Crystal system: orthorhombic
Mass density: 1.73 g cm⁻³


No. 10
The following is a DFT calculation (PBE-GGA) of a geometry-optimized Cs2K5Rb3 structure.

Unit cell a=7.441 b=48.642 c=9.759 alpha=90.00 beta=90.00 gamma=90.00
Space group Cmc2_1 (No. 36)
Unique sites:
Cs 0.000 0.003 0.000 (multiplicity 4)
Cs 0.000 0.336 0.434 (multiplicity 4)
K 0.000 0.101 0.064 (multiplicity 4)
K 0.000 0.188 0.234 (multiplicity 4)
K 0.000 0.189 0.680 (multiplicity 4)
K 0.000 0.358 0.924 (multiplicity 4)
K 0.000 0.442 0.278 (multiplicity 4)
Rb 0.000 0.097 0.570 (multiplicity 4)
Rb 0.000 0.264 0.959 (multiplicity 4)
Rb 0.000 0.449 0.769 (multiplicity 4)

Values from the calculation:
Energy relative to the elements: 0.027 eV per atom
Crystal system: orthorhombic
Mass density: 1.35 g cm⁻³


No. 11
The following is a DFT calculation (PBE-GGA) of a geometry-optimized CsK4Rb4 structure.

Unit cell a=14.689 b=14.689 c=7.059 alpha=90.00 beta=90.00 gamma=90.00
Space group I4/m (No. 87)
Unique sites:
Cs 0.000 0.000 0.000 (multiplicity 2)
K 0.170 0.829 0.500 (multiplicity 8)
Rb 0.000 0.332 0.000 (multiplicity 8)

Values from the calculation:
Energy relative to the elements: 0.007 eV per atom
Crystal system: tetragonal
Mass density: 1.38 g cm⁻³


No. 12
The following is a DFT calculation (PBE-GGA) of a geometry-optimized CsK3Rb7 structure.

Unit cell a=16.393 b=16.150 c=8.460 alpha=90.00 beta=115.45 gamma=90.00
Space group C2/m (No. 12)
Unique sites:
Cs 0.000 0.000 0.000 (multiplicity 2)
K 0.000 0.274 0.500 (multiplicity 4)
K 0.000 0.500 0.000 (multiplicity 2)
Rb 0.000 0.000 0.500 (multiplicity 2)
Rb 0.181 0.500 0.658 (multiplicity 4)
Rb 0.190 0.294 0.189 (multiplicity 8)

Values from the calculation:
Energy relative to the elements: 0.055 eV per atom
Crystal system: monoclinic
Mass density: 1.39 g cm⁻³